(1)
Crystalline CrOsW2 at its relaxed geometry, computed with PBE-GGA.

Lattice parameters (Å, degrees): 2.7287 4.2785 5.1455 90.00 100.67 90.00
Element x y z (fractional)
Cr 0.0000 0.0000 0.0000
Os 0.5000 0.0000 0.5000
W 0.2251 0.5000 0.7562
W 0.7749 0.5000 0.2438

Results
ΔE_f in meV per atom: 172.8
DOS at the Fermi energy in states/eV/cell: 4.2
ΔE to the lowest computed polymorph in meV per atom: 35
V in Å³ per cell: 59.0

=====

(2)
Crystalline CrOs3W at its relaxed geometry, computed with PBE-GGA.

Lattice parameters (Å, degrees): 4.3845 4.3845 4.3845 90.00 90.00 90.00
Element x y z (fractional)
Cr 0.0000 0.0000 0.0000
Os 0.0000 0.0000 0.5000
Os 0.0000 0.5000 0.0000
Os 0.5000 0.0000 0.0000
W 0.5000 0.5000 0.5000

Results
ΔE_f in meV per atom: 1828.7
DOS at the Fermi energy in states/eV/cell: 7.3
ΔE to the lowest computed polymorph in meV per atom: 0
V in Å³ per cell: 84.3

=====

(3)
Crystalline Cr2OsW at its relaxed geometry, computed with PBE-GGA.

Lattice parameters (Å, degrees): 4.2569 4.2569 2.9775 90.00 90.00 90.00
Element x y z (fractional)
Cr 0.0000 0.5000 0.0000
Cr 0.5000 0.0000 0.0000
Os 0.0000 0.0000 0.5000
W 0.5000 0.5000 0.5000

Results
ΔE_f in meV per atom: 112.5
DOS at the Fermi energy in states/eV/cell: 4.6
V in Å³ per cell: 54.0

=====

(4)
Crystalline CrOsW2 at its relaxed geometry, computed with PBE-GGA.

Lattice parameters (Å, degrees): 2.7368 3.8890 5.5892 90.00 90.00 90.00
Element x y z (fractional)
Cr 0.0000 0.0000 0.0000
Os 0.5000 0.5000 0.2324
W 0.0000 0.0000 0.4820
W 0.5000 0.5000 0.7577

Results
ΔE_f in meV per atom: 267.9
DOS at the Fermi energy in states/eV/cell: 4.2
ΔE to the lowest computed polymorph in meV per atom: 130
V in Å³ per cell: 59.5

=====

(5)
Crystalline Cr3OsW at its relaxed geometry, computed with PBE-GGA.

Lattice parameters (Å, degrees): 4.3952 4.3952 4.3952 90.00 90.00 90.00
Element x y z (fractional)
Cr 0.0000 0.0000 0.5000
Cr 0.0000 0.5000 0.0000
Cr 0.5000 0.0000 0.0000
Os 0.5000 0.5000 0.5000
W 0.0000 0.0000 0.0000

Results
ΔE_f in meV per atom: 2133.7
DOS at the Fermi energy in states/eV/cell: 9.8
ΔE to the lowest computed polymorph in meV per atom: 350
V in Å³ per cell: 84.9

=====

(6)
Crystalline Cr2OsW at its relaxed geometry, computed with PBE-GGA.

Lattice parameters (Å, degrees): 2.6474 2.6474 8.3710 90.00 90.00 110.52
Element x y z (fractional)
Cr 0.0000 0.0000 0.2476
Cr 0.0000 0.0000 0.7524
Os 0.5000 0.5000 0.0000
W 0.5000 0.5000 0.5000

Results
ΔE_f in meV per atom: 235.0
DOS at the Fermi energy in states/eV/cell: 5.4
V in Å³ per cell: 54.9

=====

DOS at the Fermi energy of number 6 (Cr2OsW)?
5.4 states/eV/cell